1.
Pr4GaAuO | PBE | optimized geometry

abc: 8.3968 8.3968 6.9850
angles: 90.00 90.00 130.88
Fractional positions:
Pr: 0.0000 0.5000 0.0000
Pr: 0.0000 0.5000 0.5000
Pr: 0.0668 0.9332 0.7500
Pr: 0.4303 0.5697 0.7500
Pr: 0.5000 0.0000 0.0000
Pr: 0.5000 0.0000 0.5000
Pr: 0.5697 0.4303 0.2500
Pr: 0.9332 0.0668 0.2500
Ga: 0.3746 0.6254 0.2500
Ga: 0.6254 0.3746 0.7500
Au: 0.1209 0.8791 0.2500
Au: 0.8791 0.1209 0.7500
O: 0.2535 0.7465 0.7500
O: 0.7465 0.2535 0.2500

Output
E_form (uncorrected) = -1.132 eV per atom
Total DFT energy (no corrections) = -38.303 eV/f.u.
Calculated volume = 26.6 A^3/atom
M_tot = 0.00 μB per formula unit

***

2.
GaPtAuO6 | PBE | optimized geometry

abc: 5.1618 5.1618 8.7982
angles: 90.00 90.00 120.00
Fractional positions:
Ga: 0.3333 0.6667 0.2500
Ga: 0.6667 0.3333 0.7500
Pt: 0.3333 0.6667 0.7500
Pt: 0.6667 0.3333 0.2500
Au: 0.0000 0.0000 0.0000
Au: 0.0000 0.0000 0.5000
O: 0.0017 0.3560 0.1267
O: 0.0017 0.6457 0.3733
O: 0.3543 0.3560 0.3733
O: 0.3543 0.9983 0.1267
O: 0.3560 0.0017 0.6267
O: 0.3560 0.3543 0.8733
O: 0.6440 0.6457 0.1267
O: 0.6440 0.9983 0.3733
O: 0.6457 0.0017 0.8733
O: 0.6457 0.6440 0.6267
O: 0.9983 0.3543 0.6267
O: 0.9983 0.6440 0.8733

Output
E_form (uncorrected) = -0.508 eV per atom
Total DFT energy (no corrections) = -46.667 eV/f.u.
Calculated volume = 11.3 A^3/atom
M_tot = 0.00 μB per formula unit

***

3.
PuGaAuO6 | PBE | optimized geometry

abc: 5.3106 5.3106 9.4872
angles: 90.00 90.00 120.00
Fractional positions:
Pu: 0.3333 0.6667 0.2500
Pu: 0.6667 0.3333 0.7500
Ga: 0.3333 0.6667 0.7500
Ga: 0.6667 0.3333 0.2500
Au: 0.0000 0.0000 0.0000
Au: 0.0000 0.0000 0.5000
O: 0.0033 0.3570 0.6351
O: 0.0033 0.6463 0.8649
O: 0.3537 0.3570 0.8649
O: 0.3537 0.9967 0.6351
O: 0.3570 0.0033 0.1351
O: 0.3570 0.3537 0.3649
O: 0.6430 0.6463 0.6351
O: 0.6430 0.9967 0.8649
O: 0.6463 0.0033 0.3649
O: 0.6463 0.6430 0.1351
O: 0.9967 0.3537 0.1351
O: 0.9967 0.6430 0.3649

Output
E_form (uncorrected) = -1.405 eV per atom
Total DFT energy (no corrections) = -63.033 eV/f.u.
Calculated volume = 12.9 A^3/atom
M_tot = 0.23 μB per formula unit

***

4.
Rb2GaAuO4 | PBE | optimized geometry

abc: 12.2379 10.4986 7.5431
angles: 83.71 58.51 37.78
Fractional positions:
Rb: 0.0501 0.0501 0.6999
Rb: 0.3001 0.3001 0.9499
Rb: 0.6999 0.6999 0.0501
Rb: 0.9499 0.9499 0.3001
Ga: 0.1250 0.1250 0.1250
Ga: 0.8750 0.8750 0.8750
Au: 0.3750 0.3750 0.3750
Au: 0.6250 0.6250 0.6250
O: 0.0139 0.7296 0.5487
O: 0.2078 0.5487 0.7296
O: 0.2704 0.9861 0.7922
O: 0.4513 0.7922 0.9861
O: 0.5487 0.2078 0.0139
O: 0.7296 0.0139 0.2078
O: 0.7922 0.4513 0.2704
O: 0.9861 0.2704 0.4513

Output
E_form (uncorrected) = -1.105 eV per atom
Total DFT energy (no corrections) = -36.911 eV/f.u.
Calculated volume = 25.8 A^3/atom
M_tot = 0.00 μB per formula unit

***

5.
Sc4GaAuO | PBE | optimized geometry

abc: 7.6350 7.6350 6.1204
angles: 90.00 90.00 132.64
Fractional positions:
Sc: 0.0000 0.5000 0.0000
Sc: 0.0000 0.5000 0.5000
Sc: 0.0730 0.9270 0.7500
Sc: 0.4216 0.5784 0.7500
Sc: 0.5000 0.0000 0.0000
Sc: 0.5000 0.0000 0.5000
Sc: 0.5784 0.4216 0.2500
Sc: 0.9270 0.0730 0.2500
Ga: 0.3810 0.6190 0.2500
Ga: 0.6190 0.3810 0.7500
Au: 0.1167 0.8833 0.2500
Au: 0.8833 0.1167 0.7500
O: 0.2519 0.7481 0.7500
O: 0.7481 0.2519 0.2500

Output
E_form (uncorrected) = -1.272 eV per atom
Total DFT energy (no corrections) = -45.491 eV/f.u.
Calculated volume = 18.7 A^3/atom
M_tot = 0.00 μB per formula unit

***

6.
ScGaAu2O6 | PBE | optimized geometry

abc: 7.0547 7.0547 5.9108
angles: 104.22 104.22 64.76
Fractional positions:
Sc: 0.1284 0.8716 0.7500
Sc: 0.8716 0.1284 0.2500
Ga: 0.2976 0.7024 0.2500
Ga: 0.7024 0.2976 0.7500
Au: 0.1271 0.3898 0.7665
Au: 0.3898 0.1271 0.2665
Au: 0.6102 0.8729 0.7335
Au: 0.8729 0.6102 0.2335
O: 0.0053 0.1688 0.6347
O: 0.1688 0.0053 0.1347
O: 0.2020 0.4453 0.2894
O: 0.2443 0.6153 0.9210
O: 0.3847 0.7557 0.5790
O: 0.4453 0.2020 0.7894
O: 0.5547 0.7980 0.2106
O: 0.6153 0.2443 0.4210
O: 0.7557 0.3847 0.0790
O: 0.7980 0.5547 0.7106
O: 0.8312 0.9947 0.8653
O: 0.9947 0.8312 0.3653

Output
E_form (uncorrected) = -1.230 eV per atom
Total DFT energy (no corrections) = -57.963 eV/f.u.
Calculated volume = 12.7 A^3/atom
M_tot = 0.00 μB per formula unit

***

7.
Ga2SnAuO | PBE | optimized geometry

abc: 4.4300 4.4300 4.8336
angles: 90.00 90.00 90.00
Fractional positions:
Ga: 0.0000 0.5000 0.0000
Ga: 0.5000 0.0000 0.0000
Sn: 0.0000 0.0000 0.5000
Au: 0.5000 0.5000 0.5000
O: 0.0000 0.0000 0.0000

Output
E_form (uncorrected) = -0.222 eV per atom
Total DFT energy (no corrections) = -19.403 eV/f.u.
Calculated volume = 19.0 A^3/atom
M_tot = 0.00 μB per formula unit

***

8.
Sr3GaAu2O6 | PBE | optimized geometry

abc: 5.7661 5.7661 6.4865
angles: 90.00 90.00 120.00
Fractional positions:
Sr: 0.0000 0.0000 0.0000
Sr: 0.3333 0.6667 0.6162
Sr: 0.6667 0.3333 0.3838
Ga: 0.0000 0.0000 0.5000
Au: 0.3333 0.6667 0.1095
Au: 0.6667 0.3333 0.8905
O: 0.1610 0.3221 0.3192
O: 0.1610 0.8390 0.3192
O: 0.3221 0.1610 0.6808
O: 0.6779 0.8390 0.3192
O: 0.8390 0.1610 0.6808
O: 0.8390 0.6779 0.6808

Output
E_form (uncorrected) = -1.456 eV per atom
Total DFT energy (no corrections) = -61.848 eV/f.u.
Calculated volume = 15.6 A^3/atom
M_tot = 0.00 μB per formula unit

***

9.
TlGaAu2O6 | PBE | optimized geometry

abc: 6.9418 6.9418 7.1556
angles: 108.55 108.55 67.49
Fractional positions:
Tl: 0.2439 0.7561 0.7500
Tl: 0.7561 0.2439 0.2500
Ga: 0.1745 0.8255 0.2500
Ga: 0.8255 0.1745 0.7500
Au: 0.2567 0.3436 0.9090
Au: 0.3436 0.2567 0.4090
Au: 0.6564 0.7433 0.5910
Au: 0.7433 0.6564 0.0910
O: 0.1143 0.1158 0.2553
O: 0.1158 0.1143 0.7553
O: 0.1888 0.4244 0.6443
O: 0.3040 0.6395 0.0380
O: 0.3605 0.6960 0.4620
O: 0.4244 0.1888 0.1443
O: 0.5756 0.8112 0.8557
O: 0.6395 0.3040 0.5380
O: 0.6960 0.3605 0.9620
O: 0.8112 0.5756 0.3557
O: 0.8842 0.8857 0.2447
O: 0.8857 0.8842 0.7447

Output
E_form (uncorrected) = -0.553 eV per atom
Total DFT energy (no corrections) = -47.224 eV/f.u.
Calculated volume = 14.7 A^3/atom
M_tot = 0.00 μB per formula unit

***

10.
UGaAuO6 | PBE | optimized geometry

abc: 5.3780 5.3780 9.2468
angles: 90.00 90.00 120.00
Fractional positions:
U: 0.3333 0.6667 0.2500
U: 0.6667 0.3333 0.7500
Ga: 0.3333 0.6667 0.7500
Ga: 0.6667 0.3333 0.2500
Au: 0.0000 0.0000 0.0000
Au: 0.0000 0.0000 0.5000
O: 0.0103 0.3538 0.6338
O: 0.0103 0.6565 0.8662
O: 0.3435 0.3538 0.8662
O: 0.3435 0.9897 0.6338
O: 0.3538 0.0103 0.1338
O: 0.3538 0.3435 0.3662
O: 0.6462 0.6565 0.6338
O: 0.6462 0.9897 0.8662
O: 0.6565 0.0103 0.3662
O: 0.6565 0.6462 0.1338
O: 0.9897 0.3435 0.1338
O: 0.9897 0.6462 0.3662

Output
E_form (uncorrected) = -1.625 eV per atom
Total DFT energy (no corrections) = -61.969 eV/f.u.
Calculated volume = 12.9 A^3/atom
M_tot = 1.64 μB per formula unit

***

11.
Y4GaAuO | PBE | optimized geometry

abc: 8.1119 8.1119 6.6217
angles: 90.00 90.00 131.77
Fractional positions:
Y: 0.0000 0.5000 0.0000
Y: 0.0000 0.5000 0.5000
Y: 0.0677 0.9323 0.7500
Y: 0.4274 0.5726 0.7500
Y: 0.5000 0.0000 0.0000
Y: 0.5000 0.0000 0.5000
Y: 0.5726 0.4274 0.2500
Y: 0.9323 0.0677 0.2500
Ga: 0.3768 0.6232 0.2500
Ga: 0.6232 0.3768 0.7500
Au: 0.1203 0.8797 0.2500
Au: 0.8797 0.1203 0.7500
O: 0.2540 0.7460 0.7500
O: 0.7460 0.2540 0.2500

Output
E_form (uncorrected) = -1.257 eV per atom
Total DFT energy (no corrections) = -45.916 eV/f.u.
Calculated volume = 23.2 A^3/atom
M_tot = 0.00 μB per formula unit

***

12.
YGaAu2O | PBE | optimized geometry

abc: 4.6345 4.6345 5.7376
angles: 90.00 90.00 90.00
Fractional positions:
Y: 0.0000 0.0000 0.0000
Ga: 0.0000 0.0000 0.5000
Au: 0.0000 0.5000 0.5000
Au: 0.5000 0.0000 0.5000
O: 0.5000 0.5000 0.0000

Output
E_form (uncorrected) = 0.195 eV per atom
Total DFT energy (no corrections) = -20.031 eV/f.u.
Calculated volume = 24.6 A^3/atom
M_tot = 0.00 μB per formula unit